[1]
NdDy3 | GGA-PBEsol | optimized geometry

a b c (Å): 4.9506 4.9506 4.9506
angles (deg): 90.00 90.00 90.00
Closest atoms and distances in Å follow each position.
Fractional coordinates of all 4 atoms:
Dy (0.0000, 0.5000, 0.5000)  8 Dy 3.50, 4 Nd 3.50
Dy (0.5000, 0.0000, 0.5000)  8 Dy 3.50, 4 Nd 3.50
Dy (0.5000, 0.5000, 0.0000)  8 Dy 3.50, 4 Nd 3.50
Nd (0.0000, 0.0000, 0.0000)  12 Dy 3.50

Summary:
ΔE_f	0.053	eV per formula unit
space group	Pm-3m

---

[2]
TaCd2Ru | GGA-PBEsol | optimized geometry

a b c (Å): 3.1743 4.4628 5.5675
angles (deg): 113.63 106.56 90.00
Closest atoms and distances in Å follow each position.
Fractional coordinates of all 4 atoms:
Ta (0.0000, 0.5000, 0.0000)  4 Ru 2.74, 4 Cd 2.99
Cd (0.2388, 0.2388, 0.4777)  4 Cd 2.75, 2 Ru 2.81, 2 Ta 2.99
Cd (0.7612, 0.7612, 0.5223)  4 Cd 2.75, 2 Ru 2.81, 2 Ta 2.99
Ru (0.5000, 0.0000, 0.0000)  4 Ta 2.74, 4 Cd 2.81

Summary:
ΔE_f	1.037	eV per formula unit
space group	Immm

---

[3]
SrIr2 | GGA-PBEsol | optimized geometry

a b c (Å): 5.4030 5.4030 5.4030
angles (deg): 60.00 60.00 60.00
Closest atoms and distances in Å follow each position.
Fractional coordinates of all 6 atoms:
Ir (0.1250, 0.1250, 0.6250)  6 Ir 2.70
Ir (0.1250, 0.1250, 0.1250)  6 Ir 2.70
Ir (0.1250, 0.6250, 0.1250)  6 Ir 2.70
Ir (0.6250, 0.1250, 0.1250)  6 Ir 2.70
Sr (0.7500, 0.7500, 0.7500)  12 Ir 3.17, 4 Sr 3.31
Sr (0.5000, 0.5000, 0.5000)  12 Ir 3.17, 4 Sr 3.31

Summary:
ΔE_f	-0.672	eV per formula unit
space group	Fd-3m

---

[4]
Mn2CuP | GGA-PBEsol | optimized geometry

a b c (Å): 2.5773 2.5773 7.7418
angles (deg): 80.42 80.42 60.00
Closest atoms and distances in Å follow each position.
Fractional coordinates of all 4 atoms:
Mn (0.7573, 0.7573, 0.7282)  3 P 2.28, 3 Cu 2.55
Mn (0.2427, 0.2427, 0.2718)  3 P 2.28, 3 Cu 2.55
Cu (0.0000, 0.0000, 0.0000)  6 Mn 2.55, 6 Cu 2.58
P (0.5000, 0.5000, 0.5000)  6 Mn 2.28

Summary:
ΔE_f	0.148	eV per formula unit
space group	R-3m

---

[5]
Y2ReP | GGA-PBEsol | optimized geometry

a b c (Å): 3.1797 3.1797 8.1011
angles (deg): 90.00 90.00 90.00
Closest atoms and distances in Å follow each position.
Fractional coordinates of all 4 atoms:
Re (0.5000, 0.5000, 0.6866)  4 P 2.48
Y (0.5000, 0.5000, 0.3166)  4 P 2.98, 1 Re 3.00, 4 Y 3.18
Y (0.0000, 0.0000, 0.9385)  4 Re 3.04, 1 P 3.08, 4 Y 3.18
P (0.0000, 0.0000, 0.5584)  4 Re 2.48

Summary:
ΔE_f	-1.378	eV per formula unit
space group	P4mm

---

[6]
Ag3AuO | GGA-PBEsol | optimized geometry

a b c (Å): 4.3395 4.3395 4.3395
angles (deg): 90.00 90.00 90.00
Closest atoms and distances in Å follow each position.
Fractional coordinates of all 5 atoms:
Ag (0.0000, 0.0000, 0.5000)  2 O 2.17
Ag (0.5000, 0.0000, 0.0000)  2 O 2.17
Ag (0.0000, 0.5000, 0.0000)  2 O 2.17
Au (0.5000, 0.5000, 0.5000)  12 Ag 3.07
O (0.0000, 0.0000, 0.0000)  6 Ag 2.17

Summary:
raw formation energy	0.14	eV per atom
space group	Pm-3m

---

[7]
Sr4CaOs | GGA-PBEsol | optimized geometry

a b c (Å): 6.6485 6.6485 6.6485
angles (deg): 60.00 60.00 60.00
Closest atoms and distances in Å follow each position.
Fractional coordinates of all 6 atoms:
Ca (0.7500, 0.7500, 0.7500)  12 Sr 3.90, 4 Os 4.07
Sr (0.3728, 0.8817, 0.3728)  6 Sr 3.27-3.38
Sr (0.3728, 0.3728, 0.3728)  6 Sr 3.27-3.38
Sr (0.3728, 0.3728, 0.8817)  6 Sr 3.27-3.38
Sr (0.8817, 0.3728, 0.3728)  6 Sr 3.27-3.38
Os (0.0000, 0.0000, 0.0000)  12 Sr 3.89, 4 Ca 4.07

Summary:
ΔE_f	6.966	eV per formula unit
space group	F-43m

---

[8]
YMg2Al | GGA-PBEsol | optimized geometry

a b c (Å): 3.6789 4.9176 5.9794
angles (deg): 114.28 107.92 90.00
Closest atoms and distances in Å follow each position.
Fractional coordinates of all 4 atoms:
Mg (0.2299, 0.2299, 0.4597)  2 Al 2.99, 4 Mg 3.10, 2 Y 3.33
Mg (0.7701, 0.7701, 0.5403)  2 Al 2.99, 4 Mg 3.10, 2 Y 3.33
Al (0.5000, 0.0000, 0.0000)  4 Mg 2.99, 4 Y 3.07
Y (0.0000, 0.5000, 0.0000)  4 Al 3.07, 8 Mg 3.33-3.41

Summary:
ΔE_f	-0.401	eV per formula unit
space group	Immm

---

Number 1: uncorrected energy -5.0123 eV per atom. Number 2: uncorrected energy -6.0200 eV per atom. Number 3: uncorrected energy -7.3865 eV per atom. Number 4: uncorrected energy -7.3749 eV per atom. Number 5: uncorrected energy -8.5366 eV per atom. Number 6: uncorrected energy -3.6828 eV per atom. Number 7: uncorrected energy -2.4574 eV per atom. Number 8: uncorrected energy -3.6873 eV per atom.